(1)
Crystalline K2InBi at its relaxed geometry. Source: the Alexandria database, functional PBE.

**Space-group type**: No. 44
**Raw total energy**: -2.438 eV per atom
**V**: 43.42 A^3/atom

Cell lengths 4.697, 10.147, 7.287 Å; angles 90.00, 90.00, 90.00 degrees
Positions (direct):
K 0.000 0.191 0.000
K 0.000 0.809 0.000
K 0.500 0.309 0.500
K 0.500 0.691 0.500
In 0.000 0.500 0.230
In 0.500 0.000 0.730
Bi 0.000 0.000 0.469
Bi 0.500 0.500 0.969

(2)
Crystalline Ce2GdZn at its relaxed geometry. Source: the Alexandria database, functional PBE.

**Space-group type**: No. 123
**Raw total energy**: -6.812 eV per atom
**Energy relative to the lowest polymorph listed for this composition**: 0.011 eV/f.u.
**V**: 25.82 A^3/atom

Cell lengths 4.537, 4.537, 5.018 Å; angles 90.00, 90.00, 90.00 degrees
Positions (direct):
Ce 0.000 0.500 0.000
Ce 0.500 0.000 0.000
Gd 0.000 0.000 0.500
Zn 0.500 0.500 0.500

(3)
Crystalline Pu2SnAs at its relaxed geometry. Source: the Alexandria database, functional PBE.

**Space-group type**: No. 123
**Raw total energy**: -9.909 eV per atom
**Energy relative to the lowest polymorph listed for this composition**: 0.000 eV/f.u.
**V**: 24.25 A^3/atom

Cell lengths 3.883, 3.883, 6.435 Å; angles 90.00, 90.00, 90.00 degrees
Positions (direct):
Pu 0.000 0.000 0.228
Pu 0.000 0.000 0.772
Sn 0.500 0.500 0.500
As 0.500 0.500 0.000

(4)
Crystalline TmIn2Br8 at its relaxed geometry. Source: the Alexandria database, functional PBE.

**Space-group type**: No. 12
**Raw total energy**: -3.185 eV per atom
**E_form (uncorrected)**: -1063 meV per atom
**V**: 43.88 A^3/atom

Cell lengths 8.536, 8.536, 6.989 Å; angles 99.71, 99.71, 76.03 degrees
Positions (direct):
Tm 0.000 0.000 0.000
In 0.201 0.201 0.673
In 0.799 0.799 0.327
Br 0.098 0.734 0.207
Br 0.185 0.185 0.277
Br 0.266 0.902 0.793
Br 0.387 0.387 0.845
Br 0.613 0.613 0.155
Br 0.734 0.098 0.207
Br 0.815 0.815 0.723
Br 0.902 0.266 0.793

(5)
Crystalline OsRhAu at its relaxed geometry. Source: the Alexandria database, functional PBE.

**Space-group type**: No. 216
**Raw total energy**: -6.378 eV per atom
**Energy relative to the lowest polymorph listed for this composition**: 2.454 eV/f.u.
**V**: 18.51 A^3/atom

Cell lengths 6.056, 6.056, 6.056 Å; angles 90.00, 90.00, 90.00 degrees
Positions (direct):
Os 0.000 0.000 0.000
Os 0.000 0.500 0.500
Os 0.500 0.000 0.500
Os 0.500 0.500 0.000
Rh 0.250 0.250 0.250
Rh 0.250 0.750 0.750
Rh 0.750 0.250 0.750
Rh 0.750 0.750 0.250
Au 0.250 0.250 0.750
Au 0.250 0.750 0.250
Au 0.750 0.250 0.250
Au 0.750 0.750 0.750

(6)
Crystalline ZnPb2Se at its relaxed geometry. Source: the Alexandria database, functional PBE.

**Space-group type**: No. 119
**Raw total energy**: -3.067 eV per atom
**Energy relative to the lowest polymorph listed for this composition**: 0.521 eV/f.u.
**E_form (uncorrected)**: -23 meV per atom
**V**: 26.75 A^3/atom

Cell lengths 4.347, 4.347, 11.325 Å; angles 90.00, 90.00, 90.00 degrees
Positions (direct):
Zn 0.000 0.000 0.000
Zn 0.500 0.500 0.500
Pb 0.000 0.000 0.500
Pb 0.000 0.500 0.750
Pb 0.500 0.000 0.250
Pb 0.500 0.500 0.000
Se 0.000 0.500 0.250
Se 0.500 0.000 0.750